Below is an optimized crystal structure of La2TaMo, with properties calculated at the GGA-PBE level.

Structure (POSCAR):
```
La2TaMo
1.0
5.064 0.000 0.000
2.532 4.385 0.000
2.532 1.462 4.134
La Mo Ta
2 1 1
direct
0.000 0.000 0.000
0.250 0.250 0.250
0.500 0.500 0.500
0.750 0.750 0.750
```

The value obtained for the distance to the lowest polymorph of the same formula is 361.0 meV/atom. The magnetic moment comes out at 0.00 μB/f.u. The value obtained for the formation energy is 229.2 kJ/mol of formula units. As for the crystal system: cubic. As for the uncorrected energy: -7.54 eV/atom.

Below is an optimized crystal structure of TeIrPt2, with properties calculated at the GGA-PBE level.

Structure (POSCAR):
```
TeIrPt2
1.0
-4.760 -2.968 -0.370
-0.883 -3.263 -4.493
3.039 1.258 4.560
Ir Pt Te
1 2 1
direct
0.250 0.750 0.500
0.003 0.003 0.000
0.497 0.497 0.000
0.750 0.250 0.500
```

The magnetic moment comes out at 0.00 μB/f.u. For the formation energy from raw total energies, the calculation gives 0.29 eV/atom. As for the crystal system: orthorhombic. As for the uncorrected energy: -5.73 eV/atom.

Below is an optimized crystal structure of PrNdPt6, with properties calculated at the GGA-PBE level.

Structure (POSCAR):
```
PrNdPt6
1.0
5.410 0.000 0.000
0.000 5.410 0.000
0.000 0.000 5.410
Pr Nd Pt
1 1 6
direct
0.500 0.500 0.500
0.000 0.000 0.000
0.500 0.750 0.000
0.750 0.000 0.500
0.000 0.500 0.250
0.250 0.000 0.500
0.500 0.250 0.000
0.000 0.500 0.750
```

The magnetic moment comes out at 0.00 μB/f.u. The value obtained for the formation energy is -411.1 kJ/mol of formula units. As for the crystal system: cubic. As for the uncorrected energy: -6.26 eV/atom.

> Which of these has the lowest uncorrected energy?

La2TaMo

> What is the uncorrected energy in the second record?

-5.73 eV/atom

What did the third record say?
Below is an optimized crystal structure of PrNdPt6, with properties calculated at the GGA-PBE level.

Structure (POSCAR):
```
PrNdPt6
1.0
5.410 0.000 0.000
0.000 5.410 0.000
0.000 0.000 5.410
Pr Nd Pt
1 1 6
direct
0.500 0.500 0.500
0.000 0.000 0.000
0.500 0.750 0.000
0.750 0.000 0.500
0.000 0.500 0.250
0.250 0.000 0.500
0.500 0.250 0.000
0.000 0.500 0.750
```

The magnetic moment comes out at 0.00 μB/f.u. The value obtained for the formation energy is -411.1 kJ/mol of formula units. As for the crystal system: cubic. As for the uncorrected energy: -6.26 eV/atom.